Below is an optimized crystal structure of KHgPt2, with properties calculated at the PBE level.

The structure in CIF format:
```
data_KHgPt2
_symmetry_space_group_name_H-M 'P 1'
_symmetry_Int_Tables_number 1
_symmetry_space_group_name_Hall 'P 1'
_cell_length_a 3.588
_cell_length_b 3.588
_cell_length_c 7.864
_cell_angle_alpha 90.00
_cell_angle_beta 90.00
_cell_angle_gamma 90.00
loop_
_atom_site_label
_atom_site_type_symbol
_atom_site_fract_x
_atom_site_fract_y
_atom_site_fract_z
_atom_site_occupancy
Hg1 Hg 0.000 0.000 0.459 1
K1 K 0.500 0.500 0.773 1
Pt1 Pt 0.000 0.000 0.097 1
Pt2 Pt 0.500 0.500 0.172 1
```

Results
mass density: 10.3 g/cm³
space-group type: P4mm (99)
E_tot: -13.4 eV/cell